The following is a GGA+U calculation of a geometry-optimized VZnWO6 structure, from Alexandria.

Lattice parameters (Å, degrees): 5.0843 5.0843 9.1072 90.00 90.00 120.00
Each line ends with the local moment (μB).
Atoms (fractional coordinates):
V 0.6667 0.3333 0.2500  1.15
V 0.3333 0.6667 0.7500  1.15
Zn 0.0000 0.0000 0.0000  0.01
Zn 0.0000 0.0000 0.5000  0.01
W 0.3333 0.6667 0.2500  0.04
W 0.6667 0.3333 0.7500  0.04
O 0.6463 0.6481 0.1338  -0.04
O 0.0018 0.3537 0.1338  -0.04
O 0.3537 0.0018 0.6338  -0.04
O 0.9982 0.6463 0.8662  -0.04
O 0.3519 0.3537 0.3662  -0.04
O 0.0018 0.6481 0.3662  -0.04
O 0.6481 0.0018 0.8662  -0.04
O 0.6463 0.9982 0.3662  -0.04
O 0.9982 0.3519 0.6338  -0.04
O 0.3519 0.9982 0.1338  -0.04
O 0.6481 0.6463 0.6338  -0.04
O 0.3537 0.3519 0.8662  -0.04

DOS(E_F): 2.959 states/eV/f.u.
Magnetization: 2.0 Bohr magnetons per cell
V: 11.33 Å³ per atom
Electronic total energy: -6.840 eV/atom